1.
Below is crystalline CrAgH2Pb at its relaxed geometry, with properties calculated at the PBE level.

```
5
Lattice="3.901 0.000 0.000 0.000 5.563 0.000 0.000 0.000 3.901" Properties=species:S:1:pos:R:3 pbc="T T T"
H 0.000 0.000 1.951
H 1.951 0.000 0.000
Pb 1.951 2.782 1.951
Cr 0.000 0.000 0.000
Ag 0.000 2.782 0.000
```

## Properties
The calculation puts the final energy at -4.053 eV per atom. The space-group type is No. 123.

***

2.
Below is crystalline CrAgHSe2 at its relaxed geometry, with properties calculated at the PBE level.

```
5
Lattice="4.745 0.000 0.000 0.000 3.618 0.000 0.000 0.000 4.745" Properties=species:S:1:pos:R:3 pbc="T T T"
Cr 2.372 1.809 2.372
Se 2.372 0.000 0.000
Se 0.000 0.000 2.372
H 0.000 0.000 0.000
Ag 0.000 1.809 0.000
```

## Properties
The calculation puts the final energy at -4.150 eV per atom. The space-group type is No. 123.

***

Let's list total magnetic moment in order: 3.76; 3.66 μB per cell.